(1)
# PBE-GGA Y2TcW, optimized geometry
# Total moment ... 0.0 μB/cell
# Energy relative to the elements ... 0.547 eV/atom
data_Y2TcW
_space_group_name_H-M_alt 'C m m m'
_space_group_IT_number 65
_space_group_name_Hall '-C 2 2'
_cell_length_a 3.472
_cell_length_b 4.968
_cell_length_c 9.488
_cell_angle_alpha 90.00
_cell_angle_beta 90.00
_cell_angle_gamma 90.00
loop_
_atom_site_label
_atom_site_type_symbol
_atom_site_fract_x
_atom_site_fract_y
_atom_site_fract_z
Y1 Y 0.000 0.000 0.237
Tc1 Tc 0.000 0.500 0.000
W1 W 0.000 0.500 0.500


(2)
# PBE-GGA Re2AgHg2, optimized geometry
# Total moment ... 0.0 μB/cell
# Energy relative to the elements ... 0.947 eV/atom
data_Re2AgHg2
_space_group_name_H-M_alt 'P 4/m b m'
_space_group_IT_number 127
_space_group_name_Hall '-P 4 2ab'
_cell_length_a 8.339
_cell_length_b 8.339
_cell_length_c 2.862
_cell_angle_alpha 90.00
_cell_angle_beta 90.00
_cell_angle_gamma 90.00
loop_
_atom_site_label
_atom_site_type_symbol
_atom_site_fract_x
_atom_site_fract_y
_atom_site_fract_z
Re1 Re 0.099 0.401 0.000
Ag1 Ag 0.000 0.000 0.500
Hg1 Hg 0.193 0.693 0.500


| no. | energy above the most stable polymorph in this dataset (eV per atom) | theoretical density (Mg/m³) | total energy (eV/atom) |
| --- | --- | --- | --- |
| 1 | 0.471 | 9.3 | -8.515 |
| 2 | 0.178 | 14.7 | -4.724 |